1.
Compound: TcMo2Ir
Source: Alexandria via LeMat-Bulk
Functional: GGA-PBE
Structure: relaxed

a b c (Å): 9.2230 9.2230 9.2230
angles (deg): 17.33 17.33 17.33
Element x y z (fractional)
1 Ir 0.7500 0.7500 0.7500
2 Mo 0.0004 0.0004 0.0004
3 Mo 0.4996 0.4996 0.4996
4 Tc 0.2500 0.2500 0.2500

Output
Formation energy: 0.056 eV per atom
Density: 13.18 Mg/m³
Space group: R-3m
Energy relative to the lowest polymorph listed for this composition: 142 meV per atom



2.
Compound: Th12ReBi6
Source: Alexandria via LeMat-Bulk
Functional: GGA-PBE
Structure: relaxed

a b c (Å): 8.8061 8.8061 8.8061
angles (deg): 99.24 99.24 99.24
Element x y z (fractional)
1 Th 0.7924 0.5818 0.4619
2 Th 0.4619 0.7924 0.5818
3 Th 0.5818 0.4619 0.7924
4 Th 0.2076 0.4182 0.5381
5 Th 0.5381 0.2076 0.4182
6 Th 0.4182 0.5381 0.2076
7 Th 0.0548 0.0272 0.3261
8 Th 0.9728 0.6739 0.9452
9 Th 0.6739 0.9452 0.9728
10 Th 0.9452 0.9728 0.6739
11 Th 0.0272 0.3261 0.0548
12 Th 0.3261 0.0548 0.0272
13 Re 0.0000 0.0000 0.0000
14 Bi 0.6760 0.8850 0.3269
15 Bi 0.6731 0.3240 0.1150
16 Bi 0.1150 0.6731 0.3240
17 Bi 0.3240 0.1150 0.6731
18 Bi 0.3269 0.6760 0.8850
19 Bi 0.8850 0.3269 0.6760

Output
Formation energy: -0.117 eV per atom
Density: 10.74 Mg/m³
Space group: R-3



3.
Compound: GdLuZrCd
Source: Alexandria via LeMat-Bulk
Functional: GGA-PBE
Structure: relaxed

a b c (Å): 5.2959 5.2959 5.2959
angles (deg): 60.00 60.00 60.00
Site moments in Bohr magnetons follow the coordinates.
Element x y z (fractional)
1 Gd 0.0000 0.0000 0.0000  6.86
2 Lu 0.5000 0.5000 0.5000  -0.35
3 Zr 0.2500 0.2500 0.2500  -0.96
4 Cd 0.7500 0.7500 0.7500  0.01

Output
Formation energy: 0.056 eV per atom
Density: 8.47 Mg/m³
Space group: F-43m



4.
Compound: AlCuCl
Source: Alexandria via LeMat-Bulk
Functional: GGA-PBE
Structure: relaxed

a b c (Å): 3.1956 3.5508 10.4893
angles (deg): 90.00 90.00 116.74
Element x y z (fractional)
1 Cu 0.4600 0.9200 0.0000
2 Cu 0.4142 0.8284 0.5000
3 Al 0.7223 0.4447 0.3583
4 Al 0.7223 0.4447 0.6417
5 Cl 0.1738 0.3477 0.8435
6 Cl 0.1738 0.3477 0.1565

Output
Energy relative to the elements, uncorrected: -0.139 eV per atom
Density: 3.94 Mg/m³
Space group: Amm2
Energy relative to the lowest polymorph listed for this composition: 47 meV per atom



5.
Compound: Li2NbBiAu
Source: Alexandria via LeMat-Bulk
Functional: GGA-PBE
Structure: relaxed

a b c (Å): 5.0999 5.4143 5.0999
angles (deg): 90.00 90.00 90.00
Site moments in Bohr magnetons follow the coordinates.
Element x y z (fractional)
1 Nb 0.0000 0.0000 0.0000  2.43
2 Au 0.5000 0.5000 0.5000  0.07
3 Bi 0.0000 0.5000 0.0000  -0.12
4 Li 0.0000 0.0000 0.5000  0.09
5 Li 0.5000 0.0000 0.0000  0.13

Output
Formation energy: 0.959 eV per atom
Density: 6.05 Mg/m³
Space group: P4/mmm



6.
Compound: Tb7Pr2Ho3
Source: Alexandria via LeMat-Bulk
Functional: GGA-PBE
Structure: relaxed

a b c (Å): 3.6222 5.7166 19.2123
angles (deg): 98.56 90.00 90.00
Element x y z (fractional)
1 Tb 0.0000 0.4107 0.8214
2 Tb 0.0000 0.7692 0.5385
3 Tb 0.0000 0.0000 0.0000
4 Tb 0.0000 0.5893 0.1786
5 Tb 0.5000 0.0707 0.1414
6 Tb 0.5000 0.9293 0.8586
7 Tb 0.0000 0.2308 0.4615
8 Pr 0.0000 0.8525 0.7051
9 Pr 0.0000 0.1475 0.2949
10 Ho 0.5000 0.5000 0.0000
11 Ho 0.5000 0.6862 0.3723
12 Ho 0.5000 0.3138 0.6277

Output
Formation energy: 0.114 eV per atom
Density: 7.97 Mg/m³
Space group: Cmmm
Energy relative to the lowest polymorph listed for this composition: 39 meV per atom



7.
Compound: Sr2GaAgH
Source: Alexandria via LeMat-Bulk
Functional: GGA-PBE
Structure: relaxed

a b c (Å): 5.3792 5.3792 4.1051
angles (deg): 90.00 90.00 90.00
Element x y z (fractional)
1 Sr 0.0000 0.5000 0.0000
2 Sr 0.5000 0.0000 0.0000
3 Ga 0.0000 0.0000 0.5000
4 Ag 0.5000 0.5000 0.5000
5 H 0.0000 0.0000 0.0000

Output
Density: 4.95 Mg/m³
Space group: P4/mmm
Energy relative to the lowest polymorph listed for this composition: 49 meV per atom



8.
Compound: FeCuSb
Source: Alexandria via LeMat-Bulk
Functional: GGA-PBE
Structure: relaxed

a b c (Å): 3.9104 3.9104 6.3213
angles (deg): 90.00 90.00 90.00
Site moments in Bohr magnetons follow the coordinates.
Element x y z (fractional)
1 Sb 0.0000 0.5000 0.2005  -0.06
2 Sb 0.5000 0.0000 0.7995  -0.06
3 Fe 0.0000 0.0000 0.5000  2.38
4 Fe 0.5000 0.5000 0.5000  2.38
5 Cu 0.0000 0.5000 0.7747  0.01
6 Cu 0.5000 0.0000 0.2253  0.01

Output
Energy relative to the elements, uncorrected: 0.029 eV per atom
Density: 8.29 Mg/m³
Space group: P4/nmm



9.
Compound: MoRuAu2
Source: Alexandria via LeMat-Bulk
Functional: GGA-PBE
Structure: relaxed

a b c (Å): 5.0249 5.0249 4.7888
angles (deg): 80.52 80.52 33.06
Site moments in Bohr magnetons follow the coordinates.
Element x y z (fractional)
1 Au 0.0002 0.0002 0.9989  0.01
2 Au 0.4998 0.4998 0.5011  0.01
3 Mo 0.7500 0.7500 0.7500  -0.08
4 Ru 0.2500 0.2500 0.2500  0.41

Output
Formation energy: 0.346 eV per atom
Density: 15.10 Mg/m³
Space group: C2/m
Energy relative to the lowest polymorph listed for this composition: 223 meV per atom



10.
Compound: PmSm2Y3Te6
Source: Alexandria via LeMat-Bulk
Functional: GGA-PBE
Structure: relaxed

a b c (Å): 4.3821 8.8746 9.8667
angles (deg): 103.35 102.83 90.00
Element x y z (fractional)
1 Pm 0.5000 0.0000 0.0000
2 Sm 0.8338 0.6674 0.6676
3 Sm 0.1662 0.3326 0.3324
4 Y 0.5000 0.5000 0.0000
5 Y 0.8341 0.1667 0.6681
6 Y 0.1659 0.8333 0.3319
7 Te 0.3310 0.9201 0.6620
8 Te 0.6654 0.5872 0.3307
9 Te 0.6690 0.0799 0.3380
10 Te 0.9986 0.2552 0.9972
11 Te 0.0014 0.7448 0.0028
12 Te 0.3346 0.4128 0.6693

Output
Energy relative to the elements, uncorrected: -1.353 eV per atom
Density: 6.75 Mg/m³
Space group: C2/m



11.
Compound: V7Si2N2
Source: Alexandria via LeMat-Bulk
Functional: GGA-PBE
Structure: relaxed

a b c (Å): 2.6824 7.4472 7.4472
angles (deg): 61.96 79.62 79.62
Element x y z (fractional)
1 V 0.8220 0.0851 0.2709
2 V 0.8449 0.4076 0.9026
3 V 0.5000 0.0457 0.9543
4 V 0.6440 0.4442 0.2678
5 V 0.3560 0.7322 0.5558
6 V 0.1780 0.7291 0.9149
7 V 0.1551 0.0974 0.5924
8 Si 0.0000 0.7524 0.2476
9 Si 0.5000 0.3707 0.6293
10 N 0.7326 0.8621 0.6727
11 N 0.2674 0.3273 0.1379

Output
Energy relative to the elements, uncorrected: -0.523 eV per atom
Density: 5.70 Mg/m³
Space group: Imm2



12.
Compound: La2BrCl5
Source: Alexandria via LeMat-Bulk
Functional: GGA-PBE
Structure: relaxed

a b c (Å): 4.7205 7.3643 7.3643
angles (deg): 72.02 71.31 71.31
Element x y z (fractional)
1 La 0.7512 0.7488 0.7488
2 La 0.2488 0.2512 0.2512
3 Br 0.0000 0.0000 0.0000
4 Cl 0.0000 0.5000 0.5000
5 Cl 0.6673 0.5172 0.1482
6 Cl 0.3327 0.4828 0.8518
7 Cl 0.3327 0.8518 0.4828
8 Cl 0.6673 0.1482 0.5172

Output
Energy relative to the elements, uncorrected: -2.210 eV per atom
Density: 3.97 Mg/m³
Space group: Immm



13.
Compound: Mg3GaRh
Source: Alexandria via LeMat-Bulk
Functional: GGA-PBE
Structure: relaxed

a b c (Å): 4.8618 4.8618 4.8618
angles (deg): 90.00 90.00 90.00
Site moments in Bohr magnetons follow the coordinates.
Element x y z (fractional)
1 Mg 0.0000 0.5000 0.0000  0.00
2 Mg 0.0000 0.0000 0.5000  0.01
3 Mg 0.5000 0.0000 0.0000  0.00
4 Rh 0.5000 0.5000 0.5000  0.60
5 Ga 0.0000 0.0000 0.0000  0.09

Output
Formation energy: 0.544 eV per atom
Density: 3.55 Mg/m³
Space group: Pm-3m
Energy relative to the lowest polymorph listed for this composition: 889 meV per atom



14.
Compound: DyTaNb
Source: Alexandria via LeMat-Bulk
Functional: GGA-PBE
Structure: relaxed

a b c (Å): 3.4365 3.0287 14.9303
angles (deg): 90.00 90.00 124.56
Element x y z (fractional)
1 Ta 0.5605 0.1211 0.0000
2 Ta 0.2600 0.5201 0.5000
3 Nb 0.7605 0.5209 0.3549
4 Nb 0.7605 0.5209 0.6451
5 Dy 0.1625 0.3251 0.8265
6 Dy 0.1625 0.3251 0.1735

Output
Formation energy: 0.324 eV per atom
Density: 11.32 Mg/m³
Space group: Amm2



15.
Compound: Cr4AuCl
Source: Alexandria via LeMat-Bulk
Functional: GGA-PBE
Structure: relaxed

a b c (Å): 4.9099 4.9099 4.9099
angles (deg): 60.00 60.00 60.00
Element x y z (fractional)
1 Cr 0.8791 0.3736 0.3736
2 Cr 0.3736 0.3736 0.8791
3 Cr 0.3736 0.8791 0.3736
4 Cr 0.3736 0.3736 0.3736
5 Au 0.7500 0.7500 0.7500
6 Cl 0.0000 0.0000 0.0000

Output
Energy relative to the elements, uncorrected: 0.818 eV per atom
Density: 8.74 Mg/m³
Space group: F-43m



16.
Compound: Ce2NbVN5
Source: Alexandria via LeMat-Bulk
Functional: GGA-PBE
Structure: relaxed

a b c (Å): 3.3163 6.8016 10.2255
angles (deg): 90.00 90.00 104.11
Element x y z (fractional)
1 Ce 0.8563 0.7127 0.7969
2 Ce 0.1108 0.2216 0.6907
3 Ce 0.1437 0.2873 0.2969
4 Ce 0.8892 0.7784 0.1907
5 Nb 0.7871 0.5741 0.5078
6 Nb 0.2129 0.4259 0.0078
7 V 0.5238 0.0477 0.9645
8 V 0.4762 0.9523 0.4645
9 N 0.3700 0.7400 0.0007
10 N 0.6805 0.3609 0.8743
11 N 0.4916 0.9831 0.7882
12 N 0.2833 0.5666 0.6513
13 N 0.9539 0.9079 0.5496
14 N 0.6300 0.2600 0.5007
15 N 0.3195 0.6391 0.3743
16 N 0.5084 0.0169 0.2882
17 N 0.7167 0.4334 0.1513
18 N 0.0461 0.0921 0.0496

Output
Energy relative to the elements, uncorrected: -1.264 eV per atom
Density: 7.34 Mg/m³
Space group: Cmc2_1



17.
Compound: Mn4CoAg
Source: Alexandria via LeMat-Bulk
Functional: GGA-PBE
Structure: relaxed

a b c (Å): 4.7218 4.7218 4.7218
angles (deg): 60.00 60.00 60.00
Site moments in Bohr magnetons follow the coordinates.
Element x y z (fractional)
1 Mn 0.8749 0.3750 0.3750  1.12
2 Mn 0.3750 0.3750 0.8749  1.12
3 Mn 0.3750 0.8749 0.3750  1.12
4 Mn 0.3750 0.3750 0.3750  1.12
5 Co 0.0000 0.0000 0.0000  1.58
6 Ag 0.7500 0.7500 0.7500  0.05

Output
Formation energy: 0.432 eV per atom
Density: 8.62 Mg/m³
Space group: F-43m



18.
Compound: Fe3BiRh
Source: Alexandria via LeMat-Bulk
Functional: GGA-PBE
Structure: relaxed

a b c (Å): 4.6639 4.6639 4.6639
angles (deg): 90.00 90.00 90.00
Site moments in Bohr magnetons follow the coordinates.
Element x y z (fractional)
1 Rh 0.0000 0.0000 0.0000  -0.84
2 Bi 0.5000 0.5000 0.5000  0.10
3 Fe 0.0000 0.5000 0.0000  -3.18
4 Fe 0.0000 0.0000 0.5000  -3.57
5 Fe 0.5000 0.0000 0.0000  -2.66

Output
Formation energy: 0.953 eV per atom
Density: 7.85 Mg/m³
Space group: Pm-3m
Energy relative to the lowest polymorph listed for this composition: 0 meV per atom



19.
Compound: CaHf2Ni2
Source: Alexandria via LeMat-Bulk
Functional: GGA-PBE
Structure: relaxed

a b c (Å): 4.6540 4.6540 6.0276
angles (deg): 67.29 67.29 90.00
Site moments in Bohr magnetons follow the coordinates.
Element x y z (fractional)
1 Ni 0.7500 0.2500 0.5000  0.02
2 Ni 0.2500 0.7500 0.5000  0.02
3 Ca 0.0000 0.0000 0.0000  0.02
4 Hf 0.3441 0.3441 0.3119  0.26
5 Hf 0.6559 0.6559 0.6881  0.26

Output
Formation energy: 0.086 eV per atom
Density: 7.81 Mg/m³
Space group: I4/mmm
Energy relative to the lowest polymorph listed for this composition: 278 meV per atom



20.
Compound: Li2Ca3Zn
Source: Alexandria via LeMat-Bulk
Functional: GGA-PBE
Structure: relaxed

a b c (Å): 5.4264 8.6102 7.7435
angles (deg): 90.00 90.00 71.63
Element x y z (fractional)
1 Li 0.0000 0.0000 0.0000
2 Li 0.0000 0.0000 0.5000
3 Li 0.3351 0.3299 0.5000
4 Li 0.6649 0.6701 0.5000
5 Ca 0.8284 0.3432 0.7692
6 Ca 0.5000 0.0000 0.2371
7 Ca 0.1716 0.6568 0.2308
8 Ca 0.8284 0.3432 0.2308
9 Ca 0.1716 0.6568 0.7692
10 Ca 0.5000 0.0000 0.7629
11 Zn 0.3392 0.3217 0.0000
12 Zn 0.6608 0.6783 0.0000

Output
Formation energy: -0.074 eV per atom
Density: 1.93 Mg/m³
Space group: Cmmm